5
Lattice="4.1451 0.0000 0.0000 0.0000 4.1451 0.0000 0.0000 0.0000 2.9045" Properties=species:S:1:pos:R:3 comment="GGA+U MnBeC2O, optimized geometry" space_group=P4/mmm dft_energy_ev_per_atom=-5.657 pbc="T T T"
Mn 0.0000 0.0000 0.0000
Be 2.0726 2.0726 0.0000
C 0.0000 2.0726 1.4522
C 2.0726 0.0000 1.4522
O 2.0726 2.0726 1.4522